(1)
# PdSe2N | Alexandria | PBE | relaxed
# formation energy without anion corrections: 0.700 eV/atom
data_PdSe2N
_chemical_formula_sum 'Pd4 Se8 N4'
_cell_length_a 5.330
_cell_length_b 5.330
_cell_length_c 10.796
_cell_angle_alpha 90.00
_cell_angle_beta 90.00
_cell_angle_gamma 90.00
_space_group_name_H-M_alt 'I -4 2 d'
_space_group_IT_number 122
_space_group_name_Hall 'I -4 2bw'
loop_
_atom_site_label
_atom_site_type_symbol
_atom_site_fract_x
_atom_site_fract_y
_atom_site_fract_z
Pd1 Pd 0.000 0.000 0.000
Se1 Se 0.203 0.250 0.625
N1 N 0.000 0.000 0.500

(2)
# LaHI2N | Alexandria | PBE | relaxed
# energy above the most stable polymorph in this dataset: 0 meV per atom
data_LaHI2N
_chemical_formula_sum 'La1 H1 I2 N1'
_cell_length_a 5.638
_cell_length_b 5.638
_cell_length_c 4.588
_cell_angle_alpha 90.00
_cell_angle_beta 90.00
_cell_angle_gamma 90.00
_space_group_name_H-M_alt 'P 4/m m m'
_space_group_IT_number 123
_space_group_name_Hall '-P 4 2'
loop_
_atom_site_label
_atom_site_type_symbol
_atom_site_fract_x
_atom_site_fract_y
_atom_site_fract_z
La1 La 0.000 0.000 0.000
H1 H 0.500 0.500 0.000
I1 I 0.000 0.500 0.500
N1 N 0.000 0.000 0.500

(3)
Computed, not measured: ZrZnIr after structural relaxation at the PBE level of DFT.

CIF file:
```
data_ZrZnIr
_chemical_formula_sum 'Zr4 Zn4 Ir4'
_cell_length_a 9.982
_cell_length_b 4.288
_cell_length_c 6.426
_cell_angle_alpha 90.00
_cell_angle_beta 129.85
_cell_angle_gamma 90.00
_space_group_name_H-M_alt 'C 1 2/m 1'
_space_group_IT_number 12
loop_
_space_group_symop_operation_xyz
'x,y,z'
'-x,-y,-z'
'-x,y,-z'
'x,-y,z'
'x+1/2,y+1/2,z'
'-x+1/2,-y+1/2,-z'
'-x+1/2,y+1/2,-z'
'x+1/2,-y+1/2,z'
loop_
_atom_site_label
_atom_site_type_symbol
_atom_site_fract_x
_atom_site_fract_y
_atom_site_fract_z
Zr1 Zr 0.066 0.000 0.329
Zn1 Zn 0.156 0.500 0.076
Ir1 Ir 0.176 0.500 0.692
```

(4)
Computed, not measured: Pr5SmGa4 after structural relaxation at the PBE level of DFT.

CIF file:
```
data_Pr5SmGa4
_chemical_formula_sum 'Pr10 Sm2 Ga8'
_cell_length_a 7.865
_cell_length_b 8.951
_cell_length_c 8.476
_cell_angle_alpha 90.00
_cell_angle_beta 90.00
_cell_angle_gamma 90.00
_space_group_name_H-M_alt 'P m m n'
_space_group_IT_number 59
loop_
_space_group_symop_operation_xyz
'x,y,z'
'-x,-y,-z'
'-x+1/2,-y+1/2,z'
'x+1/2,y+1/2,-z'
'x+1/2,-y,-z'
'-x+1/2,y,z'
'-x,y+1/2,-z'
'x,-y+1/2,z'
loop_
_atom_site_label
_atom_site_type_symbol
_atom_site_fract_x
_atom_site_fract_y
_atom_site_fract_z
Pr1 Pr 0.005 0.054 0.229
Pr2 Pr 0.250 0.750 0.424
Sm1 Sm 0.250 0.250 0.848
Ga1 Ga 0.095 0.750 0.063
Ga2 Ga 0.250 0.101 0.517
```

(5)
# Sr2GaB | Alexandria | PBE | relaxed
# energy above the most stable polymorph in this dataset: 0 meV per atom
data_Sr2GaB
_chemical_formula_sum 'Sr8 Ga4 B4'
_cell_length_a 7.433
_cell_length_b 7.433
_cell_length_c 7.433
_cell_angle_alpha 90.00
_cell_angle_beta 90.00
_cell_angle_gamma 90.00
_space_group_name_H-M_alt 'F m -3 m'
_space_group_IT_number 225
_space_group_name_Hall '-F 4 2 3'
loop_
_atom_site_label
_atom_site_type_symbol
_atom_site_fract_x
_atom_site_fract_y
_atom_site_fract_z
Sr1 Sr 0.250 0.250 0.250
Ga1 Ga 0.000 0.000 0.000
B1 B 0.000 0.000 0.500

(6)
# LaAuS2 | Alexandria | PBE | relaxed
# formation energy without anion corrections: -1.163 eV/atom
# energy above the most stable polymorph in this dataset: 235 meV per atom
data_LaAuS2
_chemical_formula_sum 'La2 Au2 S4'
_cell_length_a 7.820
_cell_length_b 4.159
_cell_length_c 6.781
_cell_angle_alpha 90.00
_cell_angle_beta 120.48
_cell_angle_gamma 90.00
_space_group_name_H-M_alt 'C 1 2/m 1'
_space_group_IT_number 12
loop_
_space_group_symop_operation_xyz
'x,y,z'
'-x,-y,-z'
'-x,y,-z'
'x,-y,z'
'x+1/2,y+1/2,z'
'-x+1/2,-y+1/2,-z'
'-x+1/2,y+1/2,-z'
'x+1/2,-y+1/2,z'
loop_
_atom_site_label
_atom_site_type_symbol
_atom_site_fract_x
_atom_site_fract_y
_atom_site_fract_z
La1 La 0.000 0.000 0.000
Au1 Au 0.000 0.500 0.500
S1 S 0.217 0.000 0.753

Energy per entry: -4.422; -3.834; -6.766; -4.354; -2.898; -5.278 eV/atom
Total magnetization per entry: 0.00; 0.20; 0.00; 0.00; 0.00; 0.00 μB per atom